Entry 1:
Compound: RePd2Rh
Source: Alexandria via LeMat-Bulk
Functional: PBE
Structure: relaxed

Cell and atoms, written as POSCAR:
```
RePd2Rh
1.0
-3.5500 3.5500 2.6102
3.5500 -3.5500 2.6102
3.5500 3.5500 -2.6102
Re Pd Rh
2 4 2
direct
0.0000 0.0000 0.0000
0.7500 0.2500 0.5000
0.1068 0.1250 0.4818
0.3750 0.8932 0.0182
0.6432 0.6250 0.5182
0.8750 0.3568 0.9818
0.2500 0.7500 0.5000
0.5000 0.5000 0.0000
```

## Properties
Formation enthalpy at 0 K in eV per formula unit: 2.89
Energy relative to the lowest polymorph listed for this composition in eV/atom: 0.761
DOS at the Fermi energy in states/eV/f.u.: 5.30

Entry 2:
Compound: LiSn2P2
Source: Alexandria via LeMat-Bulk
Functional: PBE
Structure: relaxed

Cell and atoms, written as POSCAR:
```
LiSn2P2
1.0
-2.1204 2.1204 6.6172
2.1204 -2.1204 6.6172
2.1204 2.1204 -6.6172
Li Sn P
1 2 2
direct
0.0000 0.0000 0.0000
0.2500 0.7500 0.5000
0.7500 0.2500 0.5000
0.4209 0.4209 0.0000
0.5791 0.5791 0.0000
```

## Properties
Formation enthalpy at 0 K in eV per formula unit: 0.37
Energy relative to the lowest polymorph listed for this composition in eV/atom: 0.083
DOS at the Fermi energy in states/eV/f.u.: 1.50

Entry 3:
Compound: Sr2LaCu2
Source: Alexandria via LeMat-Bulk
Functional: PBE
Structure: relaxed

Cell and atoms, written as POSCAR:
```
Sr2LaCu2
1.0
-2.7565 2.7565 5.4126
2.7565 -2.7565 5.4126
2.7565 2.7565 -5.4126
Sr La Cu
2 1 2
direct
0.1586 0.1586 0.0000
0.8414 0.8414 0.0000
0.5000 0.5000 0.0000
0.2500 0.7500 0.5000
0.7500 0.2500 0.5000
```

## Properties
Formation enthalpy at 0 K in eV per formula unit: 1.75
Energy relative to the lowest polymorph listed for this composition in eV/atom: 0.351
DOS at the Fermi energy in states/eV/f.u.: 6.52

Calculated ρ, 12669 4274 4454 kg/m3 (same order as the records).